Record 1
VASP calculation (PBE) on a relaxed structure of MnPtRh2.

energy of formation from the pure elements	-0.1377	eV per atom
total magnetic moment	2.901	μB per formula unit
total energy	-7.616	eV per atom

Cell: 2.772 3.792 5.484 Å, 90.00 90.00 90.00°
Space group Pmm2 (No. 25)
Asymmetric unit:
1 Mn 0.000 0.000 0.000 [1 per cell]
2 Pt 0.500 0.500 0.249 [1 per cell]
3 Rh 0.000 0.000 0.513 [1 per cell]
4 Rh 0.500 0.500 0.752 [1 per cell]

Record 2
VASP calculation (PBE) on a relaxed structure of Mn3Pt6Rh.

energy of formation from the pure elements	-0.2622	eV per atom
total magnetic moment	12.687	μB per formula unit
total energy	-7.373	eV per atom

Cell: 7.349 4.543 9.607 Å, 90.00 109.51 90.00°
Space group P2_1/m (No. 11)
Asymmetric unit:
1 Mn 0.088 0.250 0.231 [2 per cell]
2 Mn 0.297 0.250 0.026 [2 per cell]
3 Mn 0.311 0.750 0.376 [2 per cell]
4 Pt 0.093 0.250 0.729 [2 per cell]
5 Pt 0.104 0.750 0.072 [2 per cell]
6 Pt 0.295 0.250 0.533 [2 per cell]
7 Pt 0.299 0.750 0.865 [2 per cell]
8 Pt 0.489 0.250 0.328 [2 per cell]
9 Pt 0.500 0.250 0.834 [2 per cell]
10 Rh 0.101 0.750 0.567 [2 per cell]

Record 3
VASP calculation (PBE) on a relaxed structure of MnPtRh2.

energy of formation from the pure elements	-0.1480	eV per atom
total magnetic moment	3.120	μB per formula unit
total energy	-7.626	eV per atom

Cell: 3.876 3.876 7.644 Å, 90.00 90.00 90.00°
Space group I4/mmm (No. 139)
Asymmetric unit:
1 Mn 0.000 0.000 0.000 [2 per cell]
2 Pt 0.000 0.000 0.500 [2 per cell]
3 Rh 0.000 0.500 0.250 [4 per cell]

Record 4
VASP calculation (PBE) on a relaxed structure of Mn2Pt2Rh.

energy above the lowest structure with this stoichiometry	442	meV/atom
energy of formation from the pure elements	0.2115	eV per atom
total magnetic moment	0.000	μB per formula unit
total energy	-7.343	eV per atom

Cell: 7.258 7.258 2.676 Å, 90.00 90.00 90.00°
Space group P4/mbm (No. 127)
Asymmetric unit:
1 Mn 0.169 0.331 0.000 [4 per cell]
2 Pt 0.130 0.630 0.500 [4 per cell]
3 Rh 0.000 0.000 0.500 [2 per cell]

Record 5
VASP calculation (PBE) on a relaxed structure of Mn5Pt4Rh.

energy of formation from the pure elements	-0.2906	eV per atom
total magnetic moment	21.515	μB per formula unit
total energy	-8.027	eV per atom

Cell: 2.961 2.961 17.040 Å, 90.00 90.00 90.00°
Space group P4/mmm (No. 123)
Asymmetric unit:
1 Mn 0.000 0.000 0.000 [1 per cell]
2 Mn 0.000 0.000 0.205 [2 per cell]
3 Mn 0.000 0.000 0.406 [2 per cell]
4 Pt 0.500 0.500 0.102 [2 per cell]
5 Pt 0.500 0.500 0.306 [2 per cell]
6 Rh 0.500 0.500 0.500 [1 per cell]

Record 6
VASP calculation (PBE) on a relaxed structure of Mn2PtRh.

energy of formation from the pure elements	0.0454	eV per atom
total magnetic moment	7.661	μB per formula unit
total energy	-7.887	eV per atom

Cell: 6.175 6.175 6.175 Å, 90.00 90.00 90.00°
Space group F-43m (No. 216)
Asymmetric unit:
1 Mn 0.000 0.000 0.000 [4 per cell]
2 Mn 0.250 0.250 0.250 [4 per cell]
3 Pt 0.000 0.000 0.500 [4 per cell]
4 Rh 0.250 0.250 0.750 [4 per cell]

Record 7
VASP calculation (PBE) on a relaxed structure of Mn2PtRh.

energy of formation from the pure elements	0.0023	eV per atom
total magnetic moment	5.282	μB per formula unit
total energy	-7.931	eV per atom

Cell: 2.7409 2.7409 25.6499 Å, 90.00 90.00 120.00°
Space group R3m (No. 160, hexagonal axes)
Asymmetric unit:
1 Mn 0.0000 0.0000 0.0000 [3 per cell]
2 Mn 0.0000 0.0000 0.2544 [3 per cell]
3 Pt 0.0000 0.0000 0.7507 [3 per cell]
4 Rh 0.0000 0.0000 0.5111 [3 per cell]

Record 8
VASP calculation (PBE) on a relaxed structure of MnPt2Rh3.

energy of formation from the pure elements	0.2831	eV per atom
total magnetic moment	3.783	μB per formula unit
total energy	-6.934	eV per atom

Cell: 8.766 8.944 2.699 Å, 90.00 90.00 90.00°
Space group Pnnm (No. 58)
Asymmetric unit:
1 Mn 0.000 0.000 0.000 [2 per cell]
2 Pt 0.134 0.276 0.000 [4 per cell]
3 Rh 0.000 0.500 0.500 [2 per cell]
4 Rh 0.244 0.052 0.500 [4 per cell]

Record 9
VASP calculation (PBE) on a relaxed structure of Mn2Pt2Rh15.

energy of formation from the pure elements	0.3146	eV per atom
total magnetic moment	7.686	μB per formula unit
total energy	-7.090	eV per atom

Cell: 8.7403 8.7403 13.4751 Å, 90.00 90.00 120.00°
Space group R-3m (No. 166, hexagonal axes)
Asymmetric unit:
1 Mn 0.0000 0.0000 0.0983 [6 per cell]
2 Pt 0.0000 0.0000 0.2901 [6 per cell]
3 Rh 0.0000 0.3088 0.0000 [18 per cell]
4 Rh 0.0000 0.5000 0.5000 [9 per cell]
5 Rh 0.0067 0.5034 0.1504 [18 per cell]

Record 10
VASP calculation (PBE) on a relaxed structure of MnPtRh14.

energy of formation from the pure elements	-0.0268	eV per atom
total magnetic moment	2.556	μB per formula unit
total energy	-7.410	eV per atom

Cell: 5.441 5.441 7.690 Å, 90.00 90.00 90.00°
Space group P4/mmm (No. 123)
Asymmetric unit:
1 Mn 0.000 0.000 0.000 [1 per cell]
2 Pt 0.500 0.500 0.000 [1 per cell]
3 Rh 0.000 0.000 0.500 [1 per cell]
4 Rh 0.000 0.500 0.000 [2 per cell]
5 Rh 0.000 0.500 0.500 [2 per cell]
6 Rh 0.248 0.248 0.251 [8 per cell]
7 Rh 0.500 0.500 0.500 [1 per cell]

Record 11
VASP calculation (PBE) on a relaxed structure of MnPt2Rh2.

energy above the lowest structure with this stoichiometry	499	meV/atom
energy of formation from the pure elements	0.6252	eV per atom
total magnetic moment	0.123	μB per formula unit
total energy	-6.566	eV per atom

Cell: 3.601 3.601 12.694 Å, 90.00 90.00 90.00°
Space group I4/mmm (No. 139)
Asymmetric unit:
1 Mn 0.000 0.000 0.000 [2 per cell]
2 Pt 0.000 0.500 0.250 [4 per cell]
3 Rh 0.000 0.000 0.405 [4 per cell]

Record 12
VASP calculation (PBE) on a relaxed structure of MnPt6Rh2.

energy above the lowest structure with this stoichiometry	0	meV/atom
energy of formation from the pure elements	-0.0577	eV per atom
total magnetic moment	3.097	μB per formula unit
total energy	-6.737	eV per atom

Cell: 8.174 9.082 7.995 Å, 90.00 109.88 90.00°
Space group C2/c (No. 15)
Asymmetric unit:
1 Mn 0.000 0.154 0.250 [4 per cell]
2 Pt 0.061 0.115 0.928 [8 per cell]
3 Pt 0.107 0.387 0.073 [8 per cell]
4 Pt 0.224 0.385 0.427 [8 per cell]
5 Rh 0.171 0.341 0.749 [8 per cell]

Record 13
VASP calculation (PBE) on a relaxed structure of MnPtRh2.

energy of formation from the pure elements	-0.0529	eV per atom
total magnetic moment	2.757	μB per formula unit
total energy	-7.531	eV per atom

Cell: 2.7673 2.7673 25.9711 Å, 90.00 90.00 120.00°
Space group R-3m (No. 166, hexagonal axes)
Asymmetric unit:
1 Mn 0.0000 0.0000 0.0000 [3 per cell]
2 Pt 0.0000 0.0000 0.5000 [3 per cell]
3 Rh 0.0000 0.0000 0.2567 [6 per cell]

Record 14
VASP calculation (PBE) on a relaxed structure of Mn4PtRh3.

energy of formation from the pure elements	-0.2285	eV per atom
total magnetic moment	17.325	μB per formula unit
total energy	-8.325	eV per atom

Cell: 4.337 4.337 6.098 Å, 90.00 90.00 90.00°
Space group P4/mmm (No. 123)
Asymmetric unit:
1 Mn 0.000 0.500 0.246 [4 per cell]
2 Pt 0.000 0.000 0.500 [1 per cell]
3 Rh 0.000 0.000 0.000 [1 per cell]
4 Rh 0.500 0.500 0.000 [1 per cell]
5 Rh 0.500 0.500 0.500 [1 per cell]

Record 15
VASP calculation (PBE) on a relaxed structure of MnPt5Rh.

energy of formation from the pure elements	-0.1232	eV per atom
total magnetic moment	4.830	μB per formula unit
total energy	-6.798	eV per atom

Cell: 5.488 7.708 5.475 Å, 90.00 90.00 90.00°
Space group Cmmm (No. 65)
Asymmetric unit:
1 Mn 0.000 0.000 0.000 [2 per cell]
2 Pt 0.000 0.500 0.000 [2 per cell]
3 Pt 0.250 0.250 0.257 [8 per cell]
4 Rh 0.000 0.500 0.500 [2 per cell]

Record 16
VASP calculation (PBE) on a relaxed structure of MnPt2Rh2.

energy above the lowest structure with this stoichiometry	36	meV/atom
energy of formation from the pure elements	0.1629	eV per atom
total magnetic moment	3.967	μB per formula unit
total energy	-7.028	eV per atom

Cell: 4.2690 4.2690 9.8405 Å, 90.00 90.00 120.00°
Space group P6_3/mmc (No. 194)
Asymmetric unit:
1 Mn 0.0000 0.0000 0.2500 [2 per cell]
2 Pt 0.0000 0.0000 0.0000 [2 per cell]
3 Pt 0.3333 0.6667 0.2500 [2 per cell]
4 Rh 0.3333 0.6667 0.6096 [4 per cell]

Record 17
VASP calculation (PBE) on a relaxed structure of Mn2PtRh.

energy of formation from the pure elements	-0.1407	eV per atom
total magnetic moment	8.243	μB per formula unit
total energy	-8.074	eV per atom

Cell: 9.486 2.918 4.450 Å, 90.00 106.78 90.00°
Space group Cm (No. 8)
Asymmetric unit:
1 Mn 0.000 0.000 0.000 [2 per cell]
2 Mn 0.244 0.000 0.640 [2 per cell]
3 Pt 0.000 0.500 0.501 [2 per cell]
4 Rh 0.241 0.500 0.132 [2 per cell]

Record 18
VASP calculation (PBE) on a relaxed structure of MnPt2Rh5.

energy of formation from the pure elements	-0.0965	eV per atom
total magnetic moment	2.014	μB per formula unit
total energy	-7.348	eV per atom

Cell: 3.853 3.853 15.480 Å, 90.00 90.00 90.00°
Space group I4/mmm (No. 139)
Asymmetric unit:
1 Mn 0.000 0.000 0.000 [2 per cell]
2 Pt 0.000 0.000 0.251 [4 per cell]
3 Rh 0.000 0.000 0.500 [2 per cell]
4 Rh 0.000 0.500 0.120 [8 per cell]

Record 19
VASP calculation (PBE) on a relaxed structure of MnPtRh2.

energy of formation from the pure elements	-0.1278	eV per atom
total magnetic moment	3.693	μB per formula unit
total energy	-7.606	eV per atom

Cell: 9.063 2.776 4.693 Å, 90.00 101.62 90.00°
Space group C2/m (No. 12)
Asymmetric unit:
1 Mn 0.000 0.000 0.000 [2 per cell]
2 Pt 0.000 0.500 0.500 [2 per cell]
3 Rh 0.244 0.500 0.245 [4 per cell]

Record 20
VASP calculation (PBE) on a relaxed structure of Mn2PtRh.

energy of formation from the pure elements	-0.0678	eV per atom
total magnetic moment	7.766	μB per formula unit
total energy	-8.001	eV per atom

Cell: 8.587 2.832 4.892 Å, 90.00 101.08 90.00°
Space group C2/m (No. 12)
Asymmetric unit:
1 Mn 0.249 0.000 0.246 [4 per cell]
2 Pt 0.000 0.000 0.500 [2 per cell]
3 Rh 0.000 0.500 0.000 [2 per cell]